## Nd3Ni2Pb4 (PBE)

Data for a geometry-optimized Nd3Ni2Pb4 structure.

**Fermi-level density of states**: 0.620 states/eV per atom
**Energy of formation from the pure elements**: -360 kJ/mol of formula units

a b c (Å): 11.7508 4.5709 8.9598
angles (deg): 90.00 103.30 90.00
Last column: nearest neighbours and their distance in Å.
Space group C2/m (No. 12)
Inequivalent atoms, fractional coordinates:
Nd1 0.0000 0.0000 0.0000  6 Pb 3.26-3.32
Nd2 0.1295 0.5000 0.6870  1 Ni 2.84
Ni1 0.2096 0.5000 0.4108  4 Pb 2.68-2.81, 2 Ni 2.83, 1 Nd 2.84
Pb1 0.0864 0.0000 0.3794  3 Ni 2.68-2.69
Pb2 0.2020 0.5000 0.0954  1 Ni 2.81



## Nd3NiPb3 (PBE)

Data for a geometry-optimized Nd3NiPb3 structure.

**Fermi-level density of states**: 0.807 states/eV per atom
**Energy of formation from the pure elements**: -324 kJ/mol of formula units

a b c (Å): 11.6907 4.5992 15.6187
angles (deg): 90.00 109.94 90.00
Last column: nearest neighbours and their distance in Å.
Space group C2/m (No. 12)
Inequivalent atoms, fractional coordinates:
Nd1 0.0237 0.0000 0.3839  7 Pb 3.23-3.59, 3 Ni 3.32-3.42
Nd2 0.0921 0.0000 0.9195  7 Pb 3.16-3.54
Nd3 0.2428 0.0000 0.2390  2 Ni 3.26, 6 Pb 3.27-3.39
Ni1 0.2411 0.5000 0.3866  4 Pb 2.68-2.87
Pb1 0.0309 0.5000 0.2408  1 Ni 2.72
Pb2 0.1360 0.5000 0.0770  7 Nd 3.16-3.54, 2 Pb 3.19-3.27
Pb3 0.1551 0.5000 0.5383  3 Ni 2.68-2.87



## Nd2NiPb (PBE)

Data for a geometry-optimized Nd2NiPb structure.

**Fermi-level density of states**: 1.019 states/eV per atom
**Energy of formation from the pure elements**: -20 kJ/mol of formula units

a b c (Å): 3.8602 3.8602 29.5668
angles (deg): 90.00 90.00 120.00
Last column: nearest neighbours and their distance in Å.
Space group R-3m (No. 166, hexagonal axes)
Inequivalent atoms, fractional coordinates:
Nd1 0.0000 0.0000 0.1109  3 Ni 2.77
Ni1 0.0000 0.0000 0.5000  6 Nd 2.77
Pb1 0.0000 0.0000 0.0000  2 Nd 3.28



Question: energy of formation from the pure elements of number 3 (Nd2NiPb)?
Answer: -20 kJ/mol of formula units